Entry w
DFT (PBE-GGA) results for an optimized crystal structure of SmY3Ho3.

a = 8.2203 Å, b = 6.3173 Å, c = 6.3173 Å
α = 102.58°, β = 115.71°, γ = 115.71°
With the nearest neighbours (Å) after each atom.
Element x y z (fractional)
Sm 0.5622 0.0000 0.0000  3 Ho 3.13, 6 Y 3.24-3.44
Y 0.0144 0.5997 0.5997  2 Sm 3.24-3.44, 5 Ho 3.32-3.57
Y 0.4148 0.0000 0.4003  2 Sm 3.24-3.44, 5 Ho 3.32-3.57
Y 0.4148 0.4003 0.0000  2 Sm 3.24-3.44, 5 Ho 3.32-3.57
Ho 0.6228 0.6498 0.6498  1 Sm 3.13, 3 Y 3.32-3.51, 2 Ho 3.45
Ho 0.9730 0.0000 0.3502  1 Sm 3.13, 3 Y 3.32-3.51, 2 Ho 3.45
Ho 0.9730 0.3502 0.0000  1 Sm 3.13, 3 Y 3.32-3.51, 2 Ho 3.45

---

Entry x
DFT (PBE-GGA) results for an optimized crystal structure of SmY3Ho3.

a = 6.1806 Å, b = 6.1806 Å, c = 14.6545 Å
α = 77.83°, β = 77.83°, γ = 60.00°
With the nearest neighbours (Å) after each atom.
Element x y z (fractional)
Sm 0.6667 0.6667 0.0000  6 Y 3.54, 3 Sm 3.57
Sm 0.3333 0.3333 0.0000  6 Y 3.54, 3 Sm 3.57
Y 0.9326 0.2662 0.2025  3 Ho 3.48-3.49, 2 Sm 3.54, 6 Y 3.57
Y 0.5988 0.9326 0.2025  3 Ho 3.48-3.49, 2 Sm 3.54, 6 Y 3.57
Y 0.2662 0.5988 0.2025  3 Ho 3.48-3.49, 2 Sm 3.54, 6 Y 3.57
Y 0.7338 0.4012 0.7975  3 Ho 3.48-3.49, 2 Sm 3.54, 6 Y 3.57
Y 0.4012 0.0674 0.7975  3 Ho 3.48-3.49, 2 Sm 3.54, 6 Y 3.57
Y 0.0674 0.7338 0.7975  3 Ho 3.48-3.49, 2 Sm 3.54, 6 Y 3.57
Ho 0.1983 0.8664 0.4004  3 Y 3.48-3.49, 9 Ho 3.50-3.58
Ho 0.5349 0.1983 0.4004  3 Y 3.48-3.49, 9 Ho 3.50-3.58
Ho 0.8664 0.5349 0.4004  3 Y 3.48-3.49, 9 Ho 3.50-3.58
Ho 0.1336 0.4651 0.5996  3 Y 3.48-3.49, 9 Ho 3.50-3.58
Ho 0.4651 0.8017 0.5996  3 Y 3.48-3.49, 9 Ho 3.50-3.58
Ho 0.8017 0.1336 0.5996  3 Y 3.48-3.49, 9 Ho 3.50-3.58

---

How far above the most stable structure does each one sit? In eV/atom: entry w 0.107; entry x 0.000.

---

Entry w
DFT (PBE-GGA) results for an optimized crystal structure of Sm4Y2Ho.

a = 6.2793 Å, b = 6.5932 Å, c = 11.5698 Å
α = 90.00°, β = 105.14°, γ = 90.00°
With the nearest neighbours (Å) after each atom.
Element x y z (fractional)
Sm 0.6539 0.5093 0.2853  4 Sm 3.17-3.43, 1 Ho 3.45, 1 Y 3.52
Sm 0.0459 0.7500 0.8660  2 Sm 3.36, 3 Ho 3.36-3.52, 3 Y 3.40-3.49
Sm 0.9541 0.2500 0.1340  2 Sm 3.36, 3 Ho 3.36-3.52, 3 Y 3.40-3.49
Sm 0.6539 0.9907 0.2853  4 Sm 3.17-3.43, 1 Ho 3.45, 1 Y 3.52
Sm 0.8540 0.2500 0.5485  1 Ho 3.32, 4 Sm 3.43-3.56, 4 Y 3.45-3.47
Sm 0.3461 0.0093 0.7147  4 Sm 3.17-3.43, 1 Ho 3.45, 1 Y 3.52
Sm 0.3461 0.4907 0.7147  4 Sm 3.17-3.43, 1 Ho 3.45, 1 Y 3.52
Sm 0.1460 0.7500 0.4515  1 Ho 3.32, 4 Sm 3.43-3.56, 4 Y 3.45-3.47
Y 0.6146 0.7500 0.9929  6 Sm 3.40-3.69, 1 Ho 3.47, 2 Y 3.62
Y 0.3854 0.2500 0.0071  6 Sm 3.40-3.69, 1 Ho 3.47, 2 Y 3.62
Y 0.2926 0.2500 0.4212  9 Sm 3.45-3.68
Y 0.7074 0.7500 0.5788  9 Sm 3.45-3.68
Ho 0.1564 0.7500 0.1662  6 Sm 3.32-3.52, 1 Y 3.47
Ho 0.8436 0.2500 0.8338  6 Sm 3.32-3.52, 1 Y 3.47

---

Entry x
DFT (PBE-GGA) results for an optimized crystal structure of Sm4Y2Ho.

a = 3.5515 Å, b = 11.3861 Å, c = 12.1107 Å
α = 90.00°, β = 90.00°, γ = 98.97°
With the nearest neighbours (Å) after each atom.
Element x y z (fractional)
Sm 0.7467 0.4933 0.1200  3 Sm 3.15-3.41, 3 Y 3.26-3.52
Sm 0.7467 0.4933 0.3800  3 Sm 3.15-3.41, 3 Y 3.26-3.52
Sm 0.2533 0.5067 0.8800  3 Sm 3.15-3.41, 3 Y 3.26-3.52
Sm 0.2533 0.5067 0.6200  3 Sm 3.15-3.41, 3 Y 3.26-3.52
Sm 0.9601 0.9201 0.7500  2 Y 3.51, 6 Sm 3.55-3.62, 2 Ho 3.87
Sm 0.0399 0.0799 0.2500  2 Y 3.51, 6 Sm 3.55-3.62, 2 Ho 3.87
Sm 0.5000 0.0000 0.0000  4 Y 3.34, 6 Sm 3.55-3.62
Sm 0.5000 0.0000 0.5000  4 Y 3.34, 6 Sm 3.55-3.62
Y 0.1259 0.2518 0.4916  6 Sm 3.26-3.52, 2 Y 3.55, 2 Ho 3.61
Y 0.8741 0.7482 0.9916  6 Sm 3.26-3.52, 2 Y 3.55, 2 Ho 3.61
Y 0.1259 0.2518 0.0084  6 Sm 3.26-3.52, 2 Y 3.55, 2 Ho 3.61
Y 0.8741 0.7482 0.5084  6 Sm 3.26-3.52, 2 Y 3.55, 2 Ho 3.61
Ho 0.6132 0.2263 0.7500  2 Ho 3.55, 4 Y 3.61, 8 Sm 3.87-3.96
Ho 0.3868 0.7737 0.2500  2 Ho 3.55, 4 Y 3.61, 8 Sm 3.87-3.96

---

How far above the most stable structure does each one sit? In eV/atom: entry w 0.000; entry x 0.091.